(1)
Density functional theory data (PBE-GGA) for a relaxed structure of PuSb.

The structure in POSCAR format:
```
PuSb
1.0
1.028 -4.832 0.969
1.104 -1.447 4.694
-3.275 -2.797 2.608
Sb Pu
1 1
Direct
0.250 0.250 0.250
0.000 0.000 0.000
```

Output
Its total energy is -9.17 eV/atom.

(2)
Density functional theory data (PBE-GGA) for a relaxed structure of Ba4Te3Au.

The structure in POSCAR format:
```
Ba4Te3Au
1.0
-3.345 2.906 -5.414
2.905 -2.483 -3.127
-6.388 -7.598 0.098
Ba Te Au
4 3 1
Direct
0.746 0.000 0.126
0.243 0.500 0.371
0.753 0.000 0.626
0.259 0.500 0.877
0.743 0.500 0.375
0.253 0.000 0.624
0.759 0.500 0.877
0.244 0.000 0.124
```

Output
Its total energy is -4.00 eV/atom.

(3)
Density functional theory data (PBE-GGA) for a relaxed structure of TaTlCuHg.

The structure in POSCAR format:
```
TaTlCuHg
1.0
0.000 3.390 3.390
3.390 0.000 3.390
3.390 3.390 0.000
Hg Cu Tl Ta
1 1 1 1
Direct
0.250 0.250 0.250
0.750 0.750 0.750
0.000 0.000 0.000
0.500 0.500 0.500
```

Output
Its total energy is -3.74 eV/atom.

(4)
Density functional theory data (PBE-GGA) for a relaxed structure of YIn2Ir2.

The structure in POSCAR format:
```
YIn2Ir2
1.0
-2.244 -3.602 5.134
-5.994 -2.858 0.513
5.198 0.740 -4.099
In Ir Y
2 2 1
Direct
0.750 0.250 0.500
0.250 0.750 0.500
0.397 0.397 0.000
0.603 0.603 0.000
0.000 0.000 0.000
```

Output
Its total energy is -6.29 eV/atom.

(5)
Density functional theory data (PBE-GGA) for a relaxed structure of Nb2Sn2CS3.

The structure in POSCAR format:
```
Nb2Sn2CS3
1.0
-1.426 -1.561 2.580
-0.408 -1.178 -3.094
13.761 -9.559 1.823
Nb S Sn C
2 3 2 1
Direct
0.333 0.667 0.247
0.667 0.333 0.776
0.000 0.000 0.154
0.000 0.000 0.340
0.000 0.000 0.676
0.000 0.000 0.510
0.000 0.000 0.966
0.000 0.000 0.832
```

Output
Its total energy is -6.71 eV/atom.

(6)
Density functional theory data (PBE-GGA) for a relaxed structure of TlCoTc.

The structure in POSCAR format:
```
TlCoTc
1.0
1.741 1.005 10.868
-1.741 1.005 10.868
0.000 -2.010 10.868
Tl Tc Co
2 2 2
Direct
0.875 0.875 0.875
0.125 0.125 0.125
0.611 0.611 0.611
0.389 0.389 0.389
0.689 0.689 0.689
0.311 0.311 0.311
```

Output
Its total energy is -5.93 eV/atom.

(7)
Density functional theory data (PBE-GGA) for a relaxed structure of AlGaCu2Te4.

The structure in POSCAR format:
```
AlGaCu2Te4
1.0
-3.044 3.044 6.048
3.044 -3.044 6.048
3.044 3.044 -6.048
Ga Te Cu Al
1 4 2 1
Direct
0.000 0.000 0.000
0.125 0.613 0.990
0.387 0.377 0.512
0.865 0.875 0.488
0.623 0.135 0.010
0.750 0.250 0.500
0.500 0.500 0.000
0.250 0.750 0.500
```

Output
Its total energy is -3.66 eV/atom.

(8)
Density functional theory data (PBE-GGA) for a relaxed structure of Co2W.

The structure in POSCAR format:
```
Co2W
1.0
-3.358 2.806 -1.608
-1.012 -4.382 1.226
-2.917 4.646 14.197
Co W
16 8
Direct
0.500 0.000 0.500
0.667 0.333 0.873
0.333 0.667 0.373
0.500 0.500 0.500
0.667 0.333 0.627
0.672 0.836 0.250
0.164 0.328 0.250
0.000 0.500 0.000
0.836 0.164 0.750
0.328 0.164 0.750
0.333 0.667 0.127
0.836 0.672 0.750
0.500 0.500 0.000
0.500 0.000 0.000
0.164 0.836 0.250
0.000 0.500 0.500
0.000 0.000 0.090
0.667 0.333 0.156
0.000 0.000 0.910
0.667 0.333 0.344
0.333 0.667 0.656
0.000 0.000 0.590
0.333 0.667 0.844
0.000 0.000 0.410
```

Output
The value obtained for the formation energy is 0.04 eV/f.u. Its total energy is -9.04 eV/atom.